[1]
Material: Al2Fe2Ni
Method: DFT, PBE
State: relaxed

Computed properties:
Total DFT energy (no corrections): -6.094 eV/atom
Density of states at the Fermi level: 8.3 states/eV per cell
Formation energy from the elements: -0.056 eV per atom
E above lowest polymorph: 6.1 meV/atom

```
10
Lattice="6.4182 0.0000 0.0000 0.0000 6.4182 0.0000 0.0000 0.0000 3.1037" Properties=species:S:1:pos:R:3 pbc="T T T"
Al 0.9055 2.3036 0.0000
Al 2.3036 5.5128 0.0000
Al 4.1146 0.9055 0.0000
Al 5.5128 4.1146 0.0000
Fe 1.0291 4.2382 1.5519
Fe 2.1801 1.0291 1.5519
Fe 4.2382 5.3892 1.5519
Fe 5.3892 2.1801 1.5519
Ni 0.0000 0.0000 0.0000
Ni 3.2091 3.2091 0.0000
```

[2]
Material: Al27Fe2Ni4
Method: DFT, PBE
State: relaxed

Computed properties:
Total DFT energy (no corrections): -4.568 eV/atom
Density of states at the Fermi level: 17.0 states/eV per cell
Formation energy from the elements: -0.293 eV per atom

```
66
Lattice="6.2236 0.0000 0.0000 -0.0063 6.2949 0.0000 -2.3098 -0.0525 25.6804" Properties=species:S:1:pos:R:3 pbc="T T T"
Al 0.0000 0.0000 0.0000
Al -1.5372 0.0053 17.1241
Al -1.2405 4.5196 19.0764
Al 0.3345 4.5194 1.9759
Al -0.4283 4.4996 10.5602
Al -0.0206 1.3781 6.2874
Al -1.5513 1.3483 23.3912
Al -0.7824 1.3767 14.8650
Al -0.4666 3.1579 16.8217
Al -0.8206 2.6191 21.0430
Al 0.3374 3.1719 8.2679
Al 0.7300 2.6590 3.9473
Al -0.0272 2.6624 12.5246
Al -1.1862 3.1436 25.3728
Al 1.2092 5.2089 6.6847
Al -0.3157 5.1826 23.8036
Al 0.8571 0.6195 10.9003
Al 1.6342 0.6387 2.3351
Al 0.4761 5.1886 15.2533
Al 0.1161 0.6101 19.4495
Al 1.1977 3.2390 19.0594
Al 1.9951 3.2613 10.5004
Al 2.7761 3.2758 1.9261
Al 2.4026 2.5751 6.2347
Al 0.8763 2.5467 23.3462
Al 2.2281 1.1250 8.5546
Al 1.6614 2.5398 14.8357
Al 0.7029 1.0905 25.6653
Al 1.0869 4.6000 21.4290
Al 2.6348 4.6272 4.3131
Al 1.8822 4.6407 12.8860
Al 1.5268 1.0790 17.0995
Al 3.4509 4.3288 8.2618
Al 1.9212 4.2982 25.3779
Al 2.6918 4.2377 16.8533
Al 3.8762 1.5183 3.9645
Al 3.1105 1.4992 12.5454
Al 2.3441 1.4870 21.0640
Al 2.5466 5.6775 19.1279
Al 3.3209 5.7134 10.5772
Al 4.0955 5.7396 2.0138
Al 3.7788 0.0935 6.3131
Al 2.2528 0.0680 23.4204
Al 3.0216 0.0960 14.8936
Al 3.7364 2.0362 18.7021
Al 4.1092 3.7717 14.5117
Al 4.5113 2.0196 10.1915
Al 5.2931 2.0367 1.6202
Al 4.9175 3.8024 5.9179
Al 3.3856 3.7743 23.0337
Al 5.0181 5.7974 12.9016
Al 5.7956 5.8400 4.3101
Al 4.2679 5.8087 21.4245
Al 5.4394 6.2743 8.5718
Fe 1.3340 5.2292 9.1326
Fe 0.5658 5.2062 17.7062
Fe 2.1153 5.2514 0.5763
Fe 3.6481 2.0634 16.2613
Ni 0.9618 0.5650 13.4026
Ni 1.7534 0.5671 4.8496
Ni 0.2270 0.5394 21.9752
Ni 4.3927 2.0988 7.7087
Ni 4.0234 3.7174 11.9859
Ni 3.2523 3.7089 20.5526
Ni 2.8720 2.0694 24.8212
Ni 4.7973 3.7411 3.4215
```

[3]
Material: Al2FeNi2
Method: DFT, PBE
State: relaxed

Computed properties:
Total DFT energy (no corrections): -5.770 eV/atom
Density of states at the Fermi level: 5.4 states/eV per cell
Formation energy from the elements: -0.268 eV per atom
E above lowest polymorph: 77.4 meV/atom

```
5
Lattice="1.3925 -7.8561 0.0000 1.3925 7.8561 0.0000 0.0000 0.0000 2.8012" Properties=species:S:1:pos:R:3 pbc="T T T"
Al 1.3925 6.3656 0.0000
Al 1.3925 -6.3656 0.0000
Fe 1.3925 0.0000 1.4006
Ni 1.3925 2.9253 1.4006
Ni 1.3925 -2.9253 1.4006
```

[4]
Material: AlFe2Ni7
Method: DFT, PBE
State: relaxed

Computed properties:
Total DFT energy (no corrections): -5.661 eV/atom
Density of states at the Fermi level: 12.5 states/eV per cell
Formation energy from the elements: 0.452 eV per atom

```
10
Lattice="3.1677 -5.9769 0.0000 3.1677 5.9769 0.0000 0.0000 0.0000 3.8008" Properties=species:S:1:pos:R:3 pbc="T T T"
Al 0.0000 0.0000 0.0000
Fe 3.1677 2.4192 1.9004
Fe 3.1677 -2.4192 1.9004
Ni 1.1763 1.2380 1.9004
Ni 3.1677 3.6276 0.0000
Ni 1.1763 -1.2380 1.9004
Ni 3.1677 0.0000 1.9004
Ni 5.1591 1.2380 1.9004
Ni 3.1677 -3.6276 0.0000
Ni 5.1591 -1.2380 1.9004
```

[5]
Material: AlFeNi2
Method: DFT, PBE
State: relaxed

Computed properties:
Total DFT energy (no corrections): -6.239 eV/atom
Density of states at the Fermi level: 3.3 states/eV per cell
Formation energy from the elements: -0.297 eV per atom

```
4
Lattice="2.6792 -3.3279 0.0000 2.6792 3.3279 0.0000 0.0000 0.0000 2.6383" Properties=species:S:1:pos:R:3 pbc="T T T"
Al 0.0000 0.0000 0.0000
Fe 2.6792 0.0000 0.0000
Ni 1.3396 1.6640 1.3192
Ni 1.3396 -1.6640 1.3192
```

[6]
Material: AlFeNi2
Method: DFT, PBE
State: relaxed

Computed properties:
Total DFT energy (no corrections): -6.049 eV/atom
Density of states at the Fermi level: 8.4 states/eV per cell
Formation energy from the elements: -0.107 eV per atom

```
8
Lattice="1.2893 -8.2445 0.0000 1.2893 8.2445 0.0000 0.0000 0.0000 4.5606" Properties=species:S:1:pos:R:3 pbc="T T T"
Al 1.2893 6.4414 3.4205
Al 1.2893 -6.4414 1.1402
Fe 1.2893 2.2499 3.4205
Fe 1.2893 -2.2499 1.1402
Ni 1.2893 3.8793 1.1402
Ni 1.2893 0.0000 0.0000
Ni 1.2893 0.0000 2.2803
Ni 1.2893 -3.8793 3.4205
```